# 1
A plane-wave DFT calculation with PBE-GGA was carried out for a relaxed structure of Li2AgBr.

abc: 3.3786 3.3786 6.5972
angles: 90.00 90.00 90.00
Positions (direct):
1 Li 0.0000 0.0000 0.5019
2 Li 0.0000 0.0000 0.9981
3 Ag 0.5000 0.5000 0.2500
4 Br 0.5000 0.5000 0.7500

Energy relative to the elements, uncorrected, eV/atom: -0.637
SG: P4/mmm (123)
DOS(E_F), states/eV per atom: 0.11
Uncorrected energy, eV per cell: -10.9

=====

# 2
A plane-wave DFT calculation with PBE-GGA was carried out for a relaxed structure of LiAg2Br.

abc: 4.8873 4.8873 4.8873
angles: 119.84 119.84 90.28
Positions (direct):
1 Li 0.7500 0.2500 0.5000
2 Br 0.5000 0.5000 0.0000
3 Ag 0.2500 0.7500 0.5000
4 Ag 0.0000 0.0000 0.0000

Energy relative to the elements, uncorrected, eV/atom: -0.105
SG: I-4m2 (119)
DOS(E_F), states/eV per atom: 0.18
Uncorrected energy, eV per cell: -9.7

=====

# 3
A plane-wave DFT calculation with PBE-GGA was carried out for a relaxed structure of LiAg3Br6.

abc: 4.2424 8.4748 8.4748
angles: 108.38 90.00 90.00
Positions (direct):
1 Br 0.0000 0.9376 0.6844
2 Br 0.0000 0.0624 0.3156
3 Br 0.5000 0.3568 0.6432
4 Br 0.5000 0.6432 0.3568
5 Br 0.0000 0.6844 0.9376
6 Br 0.0000 0.3156 0.0624
7 Ag 0.5000 0.5000 0.0000
8 Ag 0.5000 0.0000 0.5000
9 Ag 0.0000 0.0000 0.0000
10 Li 0.0000 0.5000 0.5000

Energy relative to the elements, uncorrected, eV/atom: -0.453
SG: Cmmm (65)
DOS(E_F), states/eV per atom: 0.49
Uncorrected energy, eV per cell: -25.0

=====

# 4
A plane-wave DFT calculation with PBE-GGA was carried out for a relaxed structure of LiAg2Br.

abc: 5.3582 5.3582 5.3582
angles: 133.48 97.26 100.70
Positions (direct):
1 Li 0.2619 0.7619 0.5000
2 Ag 0.7725 0.2725 0.5000
3 Ag 0.0154 0.0154 0.0000
4 Br 0.4502 0.4502 0.0000

Energy relative to the elements, uncorrected, eV/atom: -0.142
SG: Imm2 (44)
DOS(E_F), states/eV per atom: 0.01
Uncorrected energy, eV per cell: -9.9

=====

Q: Number 2 is which compound?
A: LiAg2Br